## TiRu5 (PBE)

Data for crystalline TiRu5 at its relaxed geometry.

Unit cell a=2.920 b=4.333 c=7.127 alpha=107.70 beta=90.00 gamma=90.00
Fractional positions:
1 Ru 0.000 0.685 0.371
2 Ti 0.000 0.000 0.000
3 Ru 0.500 0.852 0.704
4 Ru 0.500 0.148 0.296
5 Ru 0.500 0.500 0.000
6 Ru 0.000 0.315 0.629

Calculated values
For the density of states at the Fermi level, the calculation gives 0.94 states/eV per atom. The calculated volume comes out at 14.32 A^3/atom. As for the formation energy: 0.00 eV per atom.